A plane-wave DFT calculation with PBE was carried out for an optimized crystal structure of La5TbErTm2.

Cell: 5.484 11.168 10.643 Å, 90.00 90.00 104.21°
Fractional positions:
La: 0.377 0.753 0.008
La: 0.720 0.440 0.819
La: 0.500 0.000 0.758
La: 0.280 0.561 0.698
La: 0.998 0.997 0.508
La: 0.623 0.247 0.508
La: 0.280 0.560 0.319
La: 0.500 0.000 0.258
La: 0.720 0.439 0.198
La: 0.002 0.003 0.008
Tb: 0.790 0.580 0.509
Tb: 0.210 0.420 0.009
Er: 0.600 0.200 0.008
Er: 0.400 0.800 0.508
Tm: 0.887 0.774 0.758
Tm: 0.113 0.226 0.758
Tm: 0.113 0.226 0.258
Tm: 0.887 0.774 0.258

The calculation puts the density of states at the Fermi level at 28.16 states/eV per cell. As for the energy relative to the elements: 0.1302 eV/atom. The calculation puts the total energy at -4.622 eV/atom. As for the space-group type: No. 36.